# Nd3SnAsBr (PBE-GGA, relaxed)
# DOS at the Fermi energy in states/eV/cell: 6.9
# VASP energy in eV per atom: -5.2726
# Formation energy from raw total energies in eV/atom: -1.168
data_Nd3SnAsBr
_chemical_formula_sum 'Nd6 Sn2 As2 Br2'
_cell_length_a 7.607
_cell_length_b 4.253
_cell_length_c 11.546
_cell_angle_alpha 90.00
_cell_angle_beta 102.47
_cell_angle_gamma 90.00
_symmetry_space_group_name_H-M 'P 1 21/m 1'
_symmetry_Int_Tables_number 11
loop_
_symmetry_equiv_pos_as_xyz
'x,y,z'
'-x,-y,-z'
'-x,y+1/2,-z'
'x,-y+1/2,z'
loop_
_atom_site_label
_atom_site_type_symbol
_atom_site_fract_x
_atom_site_fract_y
_atom_site_fract_z
Nd1 Nd 0.045 0.250 0.155
Nd2 Nd 0.215 0.750 0.504
Nd3 Nd 0.452 0.750 0.853
Sn1 Sn 0.151 0.250 0.697
As1 As 0.266 0.750 0.059
Br1 Br 0.377 0.250 0.367